# 1
First-principles (PBE) data for a relaxed structure of Nd6GaRh2I3, as listed in Alexandria.

Cell and atoms, written as POSCAR:
```
Nd6GaRh2I3
1.0
-4.980 -3.967 -3.730
6.564 -2.934 1.664
-3.528 -0.461 7.640
Nd Ga Rh I
6 1 2 3
direct
0.937 0.588 0.809
0.714 0.714 0.190
0.063 0.412 0.191
0.588 0.937 0.809
0.286 0.286 0.810
0.412 0.063 0.191
0.000 0.000 0.000
0.333 0.667 0.000
0.667 0.333 0.000
0.163 0.837 0.500
0.837 0.163 0.500
0.500 0.500 0.500
```

Properties
**ρ**: 6.7 g/cm³
**Crystal system**: monoclinic
**Total energy**: -5.094 eV per atom
**Formation energy from raw total energies**: -10.142 eV per formula unit
**SG**: C2/m, No. 12
**Volume**: 379.94 Å³ per cell

# 2
First-principles (PBE) data for a relaxed structure of PrNdDyTm, as listed in Alexandria.

Cell and atoms, written as POSCAR:
```
PrNdDyTm
1.0
3.624 0.000 -0.001
-1.811 3.139 0.002
-1.809 -1.050 11.679
Pr Nd Dy Tm
1 1 1 1
direct
0.303 0.549 0.868
0.969 0.383 0.367
0.470 0.132 0.618
0.136 0.966 0.117
```

Properties
**Energy of formation**: 0.02 eV per atom
**ρ**: 7.7 g/cm³
**Crystal system**: trigonal
**Total energy**: -4.633 eV per atom
**SG**: R3m, No. 160
**Volume**: 132.84 Å³ per cell

# 3
First-principles (PBE) data for a relaxed structure of Ac5Tl6In, as listed in Alexandria.

Cell and atoms, written as POSCAR:
```
Ac5Tl6In
1.0
5.396 -0.009 -1.696
-0.913 7.733 -2.947
0.108 -0.598 10.159
Ac Tl In
5 6 1
direct
0.360 0.860 0.721
0.680 0.679 0.358
0.000 0.500 0.000
0.320 0.321 0.642
0.640 0.140 0.279
0.165 0.419 0.330
0.165 0.910 0.330
0.500 0.275 0.000
0.500 0.725 0.000
0.835 0.090 0.670
0.835 0.581 0.670
0.000 0.000 0.000
```

Properties
**Energy of formation**: -0.32 eV per atom
**ρ**: 9.9 g/cm³
**Crystal system**: monoclinic
**Total energy**: -3.440 eV per atom
**SG**: C2/m, No. 12
**Volume**: 414.80 Å³ per cell

# 4
First-principles (PBE) data for a relaxed structure of AlAg2H, as listed in Alexandria.

Cell and atoms, written as POSCAR:
```
AlAg2H
1.0
-2.142 -1.923 4.844
3.062 -4.702 -0.513
3.446 -1.586 4.171
H Al Ag
2 2 4
direct
0.500 0.500 0.000
0.250 0.750 0.500
0.000 0.000 0.000
0.750 0.250 0.500
0.521 0.125 0.250
0.229 0.625 0.250
0.375 0.479 0.750
0.875 0.771 0.750
```

Properties
**ρ**: 6.4 g/cm³
**Crystal system**: tetragonal
**Total energy**: -2.916 eV per atom
**SG**: I-42d, No. 122
**Volume**: 126.67 Å³ per cell

# 5
First-principles (PBE) data for a relaxed structure of Tl12In2Hg5, as listed in Alexandria.

Cell and atoms, written as POSCAR:
```
Tl12In2Hg5
1.0
8.411 0.223 1.342
1.148 8.127 1.707
0.314 -0.486 8.363
Tl In Hg
12 2 5
direct
0.103 0.859 0.859
0.803 0.028 0.606
0.803 0.606 0.028
0.391 0.144 0.643
0.391 0.643 0.144
0.707 0.433 0.433
0.293 0.567 0.567
0.609 0.856 0.357
0.609 0.357 0.856
0.197 0.972 0.394
0.197 0.394 0.972
0.897 0.141 0.141
0.000 0.733 0.267
0.000 0.267 0.733
0.497 0.253 0.253
0.101 0.356 0.356
0.500 0.000 0.000
0.899 0.644 0.644
0.503 0.747 0.747
```

Properties
**Energy of formation**: 0.02 eV per atom
**ρ**: 10.7 g/cm³
**Crystal system**: monoclinic
**Total energy**: -1.847 eV per atom
**SG**: C2/m, No. 12
**Volume**: 572.49 Å³ per cell

# 6
First-principles (PBE) data for a relaxed structure of YAlCr2S6, as listed in Alexandria.

Cell and atoms, written as POSCAR:
```
YAlCr2S6
1.0
6.267 0.000 0.000
3.134 5.428 0.000
3.134 1.810 5.615
Y Al Cr S
1 1 2 6
direct
0.811 0.811 0.567
0.320 0.320 0.041
0.514 0.514 0.457
0.010 0.010 0.971
0.607 0.247 0.234
0.247 0.912 0.234
0.912 0.607 0.234
0.370 0.725 0.759
0.725 0.147 0.759
0.147 0.370 0.759
```

Properties
**ρ**: 3.6 g/cm³
**Crystal system**: trigonal
**Total energy**: -6.468 eV per atom
**Formation energy from raw total energies**: -10.460 eV per formula unit
**SG**: R3, No. 146
**Volume**: 190.99 Å³ per cell